*one*
Here is an optimized crystal structure of K4InAu from Alexandria. Energies are from PBE.

a b c (Å): 11.343 11.343 11.343
angles (deg): 60.00 60.00 60.00
Fractional positions:
K1 0.397 0.397 0.397
K2 0.810 0.397 0.397
K3 0.397 0.810 0.397
K4 0.397 0.397 0.810
K5 0.548 0.548 0.952
K6 0.952 0.952 0.548
K7 0.548 0.952 0.548
K8 0.952 0.548 0.952
K9 0.952 0.548 0.548
K10 0.548 0.952 0.952
K11 0.197 0.197 0.803
K12 0.803 0.803 0.197
K13 0.197 0.803 0.197
K14 0.803 0.197 0.803
K15 0.803 0.197 0.197
K16 0.197 0.803 0.803
In1 0.178 0.178 0.178
In2 0.466 0.178 0.178
In3 0.178 0.466 0.178
In4 0.178 0.178 0.466
Au1 0.608 0.608 0.608
Au2 0.176 0.608 0.608
Au3 0.608 0.176 0.608
Au4 0.608 0.608 0.176


*two*
Here is an optimized crystal structure of K4InAu from Alexandria. Energies are from PBE.

a b c (Å): 7.141 7.141 7.141
angles (deg): 60.00 60.00 60.00
Each line ends with the local moment (μB).
Fractional positions:
K1 0.873 0.376 0.376  0.01
K2 0.376 0.376 0.873  0.01
K3 0.376 0.873 0.376  0.01
K4 0.376 0.376 0.376  0.01
In1 0.000 0.000 0.000  0.15
Au1 0.750 0.750 0.750  0.01


Relative energies in kJ/mol of atoms: *one* 0.0; *two* 43.8